Record 1
The following is a DFT calculation (PBE-GGA) of a geometry-optimized YHoTm structure.

Structure (POSCAR):
```
YHoTm
1.0
4.7964 0.0000 0.0000
0.0000 4.7964 0.0000
0.0000 0.0000 8.5208
Y Ho Tm
2 2 2
Cartesian
1.1991 1.1991 1.6735
3.5973 3.5973 6.8473
1.1991 1.1991 6.7707
3.5973 3.5973 1.7501
1.1991 3.5973 4.2604
3.5973 1.1991 4.2604
```

Summary:
The total DFT energy (no corrections) is -4.9608 eV/atom. As for the formation enthalpy at 0 K: 20 kJ per mole of atoms. The space group is P4/nmm (129). The excess energy over the best structure of this formula in the dataset comes out at 0.184 eV/atom.


Record 2
The following is a DFT calculation (PBE-GGA) of a geometry-optimized Ho2ErAu6 structure.

Structure (POSCAR):
```
Ho2ErAu6
1.0
2.6168 -8.0272 0.0000
2.6168 8.0272 0.0000
-2.5714 0.0000 4.5401
Ho Er Au
2 1 6
Cartesian
2.6168 5.3750 0.0000
2.6168 -5.3750 0.0000
1.3311 0.0000 2.2701
-1.3085 0.0000 3.7580
0.0454 2.6587 3.0299
2.6168 2.6587 1.5102
0.0454 -2.6587 3.0299
2.6168 -2.6587 1.5102
3.9707 0.0000 0.7822
```

Summary:
The total DFT energy (no corrections) is -4.5162 eV/atom. As for the formation enthalpy at 0 K: -78 kJ per mole of atoms. The space group is C2/m (12).


Record 3
The following is a DFT calculation (PBE-GGA) of a geometry-optimized Ac2TeH2S structure.

Structure (POSCAR):
```
Ac2TeH2S
1.0
4.3201 0.0000 0.0000
-2.1600 3.7413 0.0000
0.0000 0.0000 8.4177
Ac Te H S
2 1 2 1
Cartesian
0.0000 2.4942 1.9013
2.1600 1.2471 6.5163
0.0000 0.0000 4.2088
0.0000 2.4942 6.5091
2.1600 1.2471 1.9086
0.0000 0.0000 0.0000
```

Summary:
The total DFT energy (no corrections) is -5.1153 eV/atom. The space group is P-3m1 (164).


Record 4
The following is a DFT calculation (PBE-GGA) of a geometry-optimized PrHo2Tm8 structure.

Structure (POSCAR):
```
PrHo2Tm8
1.0
8.9655 -2.4835 0.0000
8.9655 2.4835 0.0000
-2.0692 0.0000 7.5843
Pr Ho Tm
1 2 8
Cartesian
0.0000 0.0000 0.0000
4.1270 0.0000 2.7550
11.7349 0.0000 4.8293
0.6898 0.0000 3.4692
1.3921 0.0000 6.8885
4.8108 0.0000 6.1906
7.5772 0.0000 2.0819
8.2847 0.0000 5.5024
11.0512 0.0000 1.3937
14.4698 0.0000 0.6958
15.1722 0.0000 4.1151
```

Summary:
The total DFT energy (no corrections) is -4.4916 eV/atom. As for the formation enthalpy at 0 K: 3 kJ per mole of atoms. The space group is C2/m (12). The excess energy over the best structure of this formula in the dataset comes out at 0.000 eV/atom.


Record 5
The following is a DFT calculation (PBE-GGA) of a geometry-optimized Dy3Ho2Au3 structure.

Structure (POSCAR):
```
Dy3Ho2Au3
1.0
3.6323 0.0000 0.0000
0.0000 5.1884 0.0000
0.0000 0.0000 21.4284
Dy Ho Au
6 4 6
Cartesian
0.0000 0.0000 0.0000
0.0000 2.5942 2.5225
0.0000 2.5942 18.9058
1.8161 0.0000 8.1916
1.8161 0.0000 13.2367
1.8161 2.5942 10.7142
0.0000 0.0000 4.9037
0.0000 0.0000 16.5247
1.8161 2.5942 5.8105
1.8161 2.5942 15.6179
0.0000 0.0000 10.7142
0.0000 2.5942 8.1738
0.0000 2.5942 13.2546
1.8161 0.0000 2.5404
1.8161 0.0000 18.8879
1.8161 2.5942 0.0000
```

Summary:
The total DFT energy (no corrections) is -4.7366 eV/atom. As for the formation enthalpy at 0 K: -61 kJ per mole of atoms. The space group is Immm (71).


Record 6
The following is a DFT calculation (PBE-GGA) of a geometry-optimized Th2ZnPd structure.

Structure (POSCAR):
```
Th2ZnPd
1.0
7.3024 0.0000 0.0000
0.0000 7.3024 0.0000
0.0000 0.0000 7.3024
Th Zn Pd
8 4 4
Cartesian
1.8256 1.8256 1.8256
1.8256 1.8256 5.4768
1.8256 5.4768 1.8256
1.8256 5.4768 5.4768
5.4768 1.8256 1.8256
5.4768 1.8256 5.4768
5.4768 5.4768 1.8256
5.4768 5.4768 5.4768
0.0000 0.0000 0.0000
0.0000 3.6512 3.6512
3.6512 0.0000 3.6512
3.6512 3.6512 0.0000
0.0000 0.0000 3.6512
0.0000 3.6512 0.0000
3.6512 0.0000 0.0000
3.6512 3.6512 3.6512
```

Summary:
The total DFT energy (no corrections) is -5.6814 eV/atom. As for the formation enthalpy at 0 K: -34 kJ per mole of atoms. The space group is Fm-3m (225). The excess energy over the best structure of this formula in the dataset comes out at 0.101 eV/atom.


Record 7
The following is a DFT calculation (PBE-GGA) of a geometry-optimized Sr3Mo structure.

Structure (POSCAR):
```
Sr3Mo
1.0
5.4090 0.0000 0.0000
0.0000 5.4090 0.0000
0.0000 0.0000 5.3916
Sr Mo
3 1
Cartesian
0.0000 0.0000 0.0000
0.0000 2.7045 2.6958
2.7045 0.0000 2.6958
2.7045 2.7045 0.0000
```

Summary:
The total DFT energy (no corrections) is -3.0993 eV/atom. As for the formation enthalpy at 0 K: 84 kJ per mole of atoms. The space group is P4/mmm (123). The excess energy over the best structure of this formula in the dataset comes out at 0.144 eV/atom.


Record 8
The following is a DFT calculation (PBE-GGA) of a geometry-optimized Tb6ZrIn structure.

Structure (POSCAR):
```
Tb6ZrIn
1.0
4.8573 0.0000 0.0000
0.0000 4.8573 0.0000
0.0000 0.0000 9.8713
Tb Zr In
6 1 1
Cartesian
0.0000 0.0000 0.0000
0.0000 0.0000 4.9356
0.0000 2.4286 2.4399
0.0000 2.4286 7.4313
2.4286 0.0000 2.4399
2.4286 0.0000 7.4313
2.4286 2.4286 0.0000
2.4286 2.4286 4.9356
```

Summary:
The total DFT energy (no corrections) is -4.9756 eV/atom. As for the formation enthalpy at 0 K: -9 kJ per mole of atoms. The space group is P4/mmm (123).


Record 9
The following is a DFT calculation (PBE-GGA) of a geometry-optimized CaAc7Sm2 structure.

Structure (POSCAR):
```
CaAc7Sm2
1.0
5.1164 -8.2411 0.0000
5.1164 8.2411 0.0000
0.0000 0.0000 6.2144
Ca Ac Sm
1 7 2
Cartesian
0.0000 0.0000 0.0000
1.9168 2.0902 3.1072
5.1164 4.0102 0.0000
1.9168 -2.0902 3.1072
5.1164 0.0000 3.1072
8.3160 2.0902 3.1072
5.1164 -4.0102 0.0000
8.3160 -2.0902 3.1072
5.1164 3.3146 3.1072
5.1164 -3.3146 3.1072
```

Summary:
The total DFT energy (no corrections) is -3.4874 eV/atom. As for the formation enthalpy at 0 K: 51 kJ per mole of atoms. The space group is Cmmm (65).


Record 10
The following is a DFT calculation (PBE-GGA) of a geometry-optimized TbSc2Hg structure.

Structure (POSCAR):
```
TbSc2Hg
1.0
3.4571 0.0000 0.0000
-1.7285 2.9939 0.0000
0.0000 0.0000 30.0621
Tb Sc Hg
3 6 3
Cartesian
0.0000 0.0000 0.0000
0.0000 1.9959 20.0414
1.7285 0.9980 10.0207
0.0000 0.0000 7.3006
0.0000 0.0000 12.7649
0.0000 1.9959 2.7442
0.0000 1.9959 27.3420
1.7285 0.9980 17.3213
1.7285 0.9980 22.7856
0.0000 0.0000 25.0721
0.0000 1.9959 15.0515
1.7285 0.9980 5.0308
```

Summary:
The total DFT energy (no corrections) is -4.5060 eV/atom. As for the formation enthalpy at 0 K: -10 kJ per mole of atoms. The space group is R3m (160). The excess energy over the best structure of this formula in the dataset comes out at 0.083 eV/atom.


Among the records above, which one has the lowest total DFT energy (no corrections)?
Th2ZnPd